--- w ---
VASP calculation (PBE) on an optimized crystal structure of MnNi3Ge.

## Properties
For the density of states at the Fermi level, the calculation gives 3.1 states/eV per cell.

a = 3.738 Å, b = 4.666 Å, c = 4.666 Å
α = 63.31°, β = 90.00°, γ = 90.00°
Fractional coordinates of all 5 atoms:
Mn: 0.000 0.000 0.000
Ni: 0.000 0.349 0.349
Ni: 0.500 0.013 0.531
Ni: 0.500 0.531 0.013
Ge: 0.500 0.528 0.528



--- x ---
VASP calculation (PBE) on an optimized crystal structure of MnNi3Ge.

## Properties
For the density of states at the Fermi level, the calculation gives 7.1 states/eV per cell.

a = 6.357 Å, b = 6.357 Å, c = 4.527 Å
α = 90.00°, β = 90.00°, γ = 134.87°
Fractional coordinates of all 10 atoms:
Mn: 0.069 0.931 0.750
Mn: 0.931 0.069 0.250
Ni: 0.096 0.402 0.750
Ni: 0.402 0.096 0.250
Ni: 0.500 0.500 0.000
Ni: 0.500 0.500 0.500
Ni: 0.598 0.904 0.750
Ni: 0.904 0.598 0.250
Ge: 0.322 0.678 0.250
Ge: 0.678 0.322 0.750



--- y ---
VASP calculation (PBE) on an optimized crystal structure of MnNi3Ge.

## Properties
For the density of states at the Fermi level, the calculation gives 6.6 states/eV per cell.

a = 4.310 Å, b = 4.310 Å, c = 4.310 Å
α = 90.00°, β = 90.00°, γ = 90.00°
Fractional coordinates of all 5 atoms:
Mn: 0.000 0.000 0.000
Ni: 0.000 0.000 0.500
Ni: 0.000 0.500 0.000
Ni: 0.500 0.000 0.000
Ge: 0.500 0.500 0.500



Which is the most stable structure? x is the most stable.



--- w ---
VASP calculation (PBE) on an optimized crystal structure of MnNi4Ge2.

## Properties
For the density of states at the Fermi level, the calculation gives 12.0 states/eV per cell.

a = 6.886 Å, b = 6.886 Å, c = 3.849 Å
α = 90.00°, β = 90.00°, γ = 90.00°
Fractional coordinates of all 14 atoms:
Mn: 0.000 0.000 0.000
Mn: 0.500 0.500 0.500
Ni: 0.100 0.355 0.500
Ni: 0.145 0.600 0.000
Ni: 0.355 0.100 0.500
Ni: 0.400 0.855 0.000
Ni: 0.600 0.145 0.000
Ni: 0.645 0.900 0.500
Ni: 0.855 0.400 0.000
Ni: 0.900 0.645 0.500
Ge: 0.215 0.785 0.500
Ge: 0.285 0.285 0.000
Ge: 0.715 0.715 0.000
Ge: 0.785 0.215 0.500



--- x ---
VASP calculation (PBE) on an optimized crystal structure of MnNi4Ge2.

## Properties
For the density of states at the Fermi level, the calculation gives 4.2 states/eV per cell.

a = 8.607 Å, b = 8.607 Å, c = 8.607 Å
α = 156.68°, β = 156.68°, γ = 33.21°
Fractional coordinates of all 7 atoms:
Mn: 0.000 0.000 0.000
Ni: 0.144 0.144 0.000
Ni: 0.250 0.750 0.500
Ni: 0.750 0.250 0.500
Ni: 0.856 0.856 0.000
Ge: 0.369 0.369 0.000
Ge: 0.631 0.631 0.000



Which is the most stable structure? w is the most stable.



--- w ---
VASP calculation (PBE) on an optimized crystal structure of MnNiGeRh.

## Properties
For the density of states at the Fermi level, the calculation gives 1.2 states/eV per cell.

a = 4.454 Å, b = 4.454 Å, c = 4.454 Å
α = 128.38°, β = 128.38°, γ = 76.01°
Fractional coordinates of all 4 atoms:
Mn: 0.000 0.000 0.000
Ni: 0.250 0.750 0.500
Ge: 0.500 0.500 0.000
Rh: 0.750 0.250 0.500



--- x ---
VASP calculation (PBE) on an optimized crystal structure of MnNiGeRh.

## Properties
For the density of states at the Fermi level, the calculation gives 4.1 states/eV per cell.

a = 4.222 Å, b = 4.222 Å, c = 4.222 Å
α = 60.00°, β = 60.00°, γ = 60.00°
Fractional coordinates of all 4 atoms:
Mn: 0.000 0.000 0.000
Ni: 0.750 0.750 0.750
Ge: 0.500 0.500 0.500
Rh: 0.250 0.250 0.250



Which is the most stable structure? w is the most stable.



--- w ---
VASP calculation (PBE) on an optimized crystal structure of NpMnGe2.

## Properties
For the density of states at the Fermi level, the calculation gives 27.3 states/eV per cell.

a = 6.609 Å, b = 4.242 Å, c = 10.161 Å
α = 90.00°, β = 90.00°, γ = 90.00°
Fractional coordinates of all 16 atoms:
Np: 0.209 0.250 0.130
Np: 0.291 0.750 0.630
Np: 0.709 0.250 0.370
Np: 0.791 0.750 0.870
Mn: 0.019 0.750 0.398
Mn: 0.481 0.250 0.898
Mn: 0.519 0.750 0.102
Mn: 0.981 0.250 0.602
Ge: 0.107 0.250 0.825
Ge: 0.214 0.250 0.424
Ge: 0.286 0.750 0.924
Ge: 0.393 0.750 0.325
Ge: 0.607 0.250 0.675
Ge: 0.714 0.250 0.076
Ge: 0.786 0.750 0.576
Ge: 0.893 0.750 0.175



--- x ---
VASP calculation (PBE) on an optimized crystal structure of NpMnGe2.

## Properties
For the density of states at the Fermi level, the calculation gives 8.1 states/eV per cell.

a = 4.426 Å, b = 4.426 Å, c = 3.882 Å
α = 90.00°, β = 90.00°, γ = 90.00°
Fractional coordinates of all 4 atoms:
Np: 0.000 0.000 0.000
Mn: 0.500 0.500 0.000
Ge: 0.000 0.500 0.500
Ge: 0.500 0.000 0.500



--- y ---
VASP calculation (PBE) on an optimized crystal structure of NpMnGe2.

## Properties
For the density of states at the Fermi level, the calculation gives 19.4 states/eV per cell.

a = 9.060 Å, b = 9.060 Å, c = 4.023 Å
α = 90.00°, β = 90.00°, γ = 153.83°
Fractional coordinates of all 8 atoms:
Np: 0.143 0.857 0.000
Np: 0.857 0.143 0.000
Mn: 0.423 0.577 0.500
Mn: 0.577 0.423 0.500
Ge: 0.000 0.000 0.500
Ge: 0.290 0.710 0.500
Ge: 0.500 0.500 0.000
Ge: 0.710 0.290 0.500



--- z ---
VASP calculation (PBE) on an optimized crystal structure of NpMnGe2.

## Properties
For the density of states at the Fermi level, the calculation gives 9.4 states/eV per cell.

a = 7.207 Å, b = 7.207 Å, c = 7.207 Å
α = 37.71°, β = 37.71°, γ = 37.71°
Fractional coordinates of all 4 atoms:
Np: 0.000 0.000 0.000
Mn: 0.500 0.500 0.500
Ge: 0.379 0.379 0.379
Ge: 0.621 0.621 0.621



Which is the most stable structure? w is the most stable.